Entry from the Alexandria database: an optimized crystal structure of RbNa2Hg5 (PBE).

Lattice parameters (Å, degrees): 4.8489 8.2439 8.2439 56.81 72.90 72.90
Fractional coordinates of all 8 atoms:
Rb 0.0000 0.0000 0.0000
Na 0.7657 0.7343 0.7343
Na 0.2343 0.2657 0.2657
Hg 0.0000 0.5000 0.5000
Hg 0.6216 0.5760 0.1807
Hg 0.3784 0.4240 0.8193
Hg 0.3784 0.8193 0.4240
Hg 0.6216 0.1807 0.5760

Values from the calculation:
SG = Immm
DFT total energy = -0.835 eV per atom
calculated density = 7.25 g cm⁻³
crystal system = orthorhombic

---

Entry from the Alexandria database: an optimized crystal structure of Rb2NaHg2 (PBE).

Lattice parameters (Å, degrees): 5.1677 7.1845 7.1847 60.97 69.14 69.14
Fractional coordinates of all 5 atoms:
Rb 0.2959 0.2041 0.7041
Rb 0.7041 0.7959 0.2959
Na 0.5000 0.5000 0.0000
Hg 0.0000 0.2165 0.2835
Hg 0.0000 0.7835 0.7165

Values from the calculation:
SG = C2/m
DFT total energy = -0.966 eV per atom
calculated density = 4.65 g cm⁻³
crystal system = monoclinic
distance to the lowest polymorph of the same formula = 2.7 meV per atom

---

Entry from the Alexandria database: an optimized crystal structure of Rb2Na5Hg2 (PBE).

Lattice parameters (Å, degrees): 5.3465 5.3465 13.1005 90.00 90.00 90.00
Fractional coordinates of all 9 atoms:
Rb 0.0000 0.0000 0.0000
Rb 0.0000 0.0000 0.5000
Na 0.5000 0.0000 0.2576
Na 0.5000 0.0000 0.7424
Na 0.0000 0.5000 0.2576
Na 0.0000 0.5000 0.7424
Na 0.5000 0.5000 0.5000
Hg 0.5000 0.5000 0.1160
Hg 0.5000 0.5000 0.8840

Values from the calculation:
SG = P4/mmm
DFT total energy = -1.084 eV per atom
calculated density = 3.05 g cm⁻³
crystal system = tetragonal

---

Entry from the Alexandria database: an optimized crystal structure of Rb5Na4Hg4 (PBE).

Lattice parameters (Å, degrees): 5.3293 10.6609 10.6609 86.42 75.53 75.53
Fractional coordinates of all 13 atoms:
Rb 0.7041 0.9322 0.6596
Rb 0.2959 0.0678 0.3404
Rb 0.0000 0.0000 0.0000
Rb 0.6363 0.6596 0.0678
Rb 0.3637 0.3404 0.9322
Na 0.8951 0.5360 0.6739
Na 0.5689 0.3261 0.5360
Na 0.1049 0.4640 0.3261
Na 0.4311 0.6739 0.4640
Hg 0.7337 0.3161 0.2166
Hg 0.2663 0.6839 0.7834
Hg 0.9503 0.7834 0.3161
Hg 0.0497 0.2166 0.6839

Values from the calculation:
SG = I4/m
DFT total energy = -1.027 eV per atom
calculated density = 3.86 g cm⁻³
crystal system = tetragonal

---

Entry from the Alexandria database: an optimized crystal structure of Rb5Na2Hg (PBE).

Lattice parameters (Å, degrees): 4.9099 7.8360 27.6844 90.00 90.00 108.26
Fractional coordinates of all 16 atoms:
Rb 0.9000 0.8000 0.8798
Rb 0.9000 0.8000 0.6202
Rb 0.3653 0.7307 0.4539
Rb 0.3653 0.7307 0.0461
Rb 0.5034 0.0069 0.2500
Rb 0.4966 0.9931 0.7500
Rb 0.6347 0.2693 0.5461
Rb 0.6347 0.2693 0.9539
Rb 0.1000 0.2000 0.1202
Rb 0.1000 0.2000 0.3798
Na 0.7970 0.5940 0.3162
Na 0.7970 0.5940 0.1838
Na 0.2030 0.4060 0.6838
Na 0.2030 0.4060 0.8162
Hg 0.7850 0.5699 0.7500
Hg 0.2150 0.4301 0.2500

Values from the calculation:
SG = Cmcm
DFT total energy = -1.015 eV per atom
calculated density = 2.21 g cm⁻³
crystal system = orthorhombic

---

Entry from the Alexandria database: an optimized crystal structure of Rb3NaHg3 (PBE).

Lattice parameters (Å, degrees): 9.9172 9.9172 9.9172 90.00 90.00 90.00
Fractional coordinates of all 14 atoms:
Na 0.5000 0.5000 0.5000
Na 0.0000 0.0000 0.0000
Hg 0.0000 0.2500 0.5000
Hg 0.0000 0.7500 0.5000
Hg 0.5000 0.0000 0.7500
Hg 0.7500 0.5000 0.0000
Hg 0.5000 0.0000 0.2500
Hg 0.2500 0.5000 0.0000
Rb 0.2500 0.0000 0.5000
Rb 0.0000 0.5000 0.2500
Rb 0.5000 0.7500 0.0000
Rb 0.7500 0.0000 0.5000
Rb 0.0000 0.5000 0.7500
Rb 0.5000 0.2500 0.0000

Values from the calculation:
SG = Pm-3n
DFT total energy = -0.648 eV per atom
calculated density = 3.00 g cm⁻³
crystal system = cubic
distance to the lowest polymorph of the same formula = 292.8 meV per atom

---

Entry from the Alexandria database: an optimized crystal structure of Rb2Na9Hg4 (PBE).

Lattice parameters (Å, degrees): 5.4560 5.4560 20.8119 90.00 90.00 120.00
Fractional coordinates of all 15 atoms:
Rb 0.3333 0.6667 0.7697
Rb 0.6667 0.3333 0.2303
Na 0.0000 0.0000 0.3460
Na 0.0000 0.0000 0.6540
Na 0.0000 0.0000 0.9039
Na 0.0000 0.0000 0.0961
Na 0.3333 0.6667 0.5624
Na 0.6667 0.3333 0.4376
Na 0.6667 0.3333 0.0385
Na 0.3333 0.6667 0.9615
Na 0.0000 0.0000 0.5000
Hg 0.3333 0.6667 0.4017
Hg 0.6667 0.3333 0.5983
Hg 0.6667 0.3333 0.8861
Hg 0.3333 0.6667 0.1139

Values from the calculation:
SG = P-3m1
DFT total energy = -1.130 eV per atom
calculated density = 3.65 g cm⁻³
crystal system = trigonal

---

Entry from the Alexandria database: an optimized crystal structure of Rb5Na2Hg5 (PBE).

Lattice parameters (Å, degrees): 5.4370 10.5454 10.5463 64.80 75.06 75.06
Fractional coordinates of all 12 atoms:
Rb 0.5000 0.5000 0.5000
Rb 0.3571 0.3275 0.9583
Rb 0.3566 0.9585 0.3283
Rb 0.6434 0.0415 0.6717
Rb 0.6429 0.6725 0.0417
Na 0.8536 0.6459 0.6469
Na 0.1464 0.3541 0.3531
Hg 0.9996 0.7221 0.2787
Hg 0.2558 0.7433 0.7450
Hg 0.7442 0.2567 0.2550
Hg 0.0004 0.2779 0.7213
Hg 0.0000 0.0000 0.0000

Values from the calculation:
SG = C2/m
DFT total energy = -0.920 eV per atom
calculated density = 4.71 g cm⁻³
crystal system = monoclinic

---

Entry from the Alexandria database: an optimized crystal structure of Rb2Na3Hg4 (PBE).

Lattice parameters (Å, degrees): 8.6874 8.9051 8.7199 90.00 90.00 109.36
Fractional coordinates of all 18 atoms:
Rb 0.5577 0.1868 0.3358
Rb 0.9423 0.8132 0.8358
Rb 0.4423 0.8132 0.6642
Rb 0.0577 0.1868 0.1642
Na 0.0000 0.5000 0.5000
Na 0.5000 0.5000 0.0000
Na 0.7524 0.2574 0.8291
Na 0.7476 0.7426 0.3291
Na 0.2476 0.7426 0.1709
Na 0.2524 0.2574 0.6709
Hg 0.8785 0.0858 0.5472
Hg 0.6215 0.9142 0.0472
Hg 0.1215 0.9142 0.4528
Hg 0.3785 0.0858 0.9528
Hg 0.8718 0.5020 0.1272
Hg 0.6282 0.4980 0.6272
Hg 0.1282 0.4980 0.8728
Hg 0.3718 0.5020 0.3728

Values from the calculation:
SG = P2_1/c
DFT total energy = -1.001 eV per atom
calculated density = 5.44 g cm⁻³
crystal system = monoclinic
distance to the lowest polymorph of the same formula = 0.0 meV per atom

---

Entry from the Alexandria database: an optimized crystal structure of Rb3NaHg (PBE).

Lattice parameters (Å, degrees): 5.0874 10.8242 11.2877 93.01 89.97 103.56
Fractional coordinates of all 10 atoms:
Rb 0.0832 0.1997 0.4287
Rb 0.4162 0.8654 0.6478
Rb 0.6275 0.2887 0.7738
Rb 0.9607 0.9544 0.9928
Rb 0.2673 0.5686 0.0136
Rb 0.7764 0.5855 0.4081
Na 0.4358 0.9027 0.2813
Na 0.6091 0.2511 0.1402
Hg 0.2384 0.5105 0.6551
Hg 0.8053 0.6437 0.7665

Values from the calculation:
SG = P-1
DFT total energy = -0.985 eV per atom
calculated density = 2.64 g cm⁻³
crystal system = triclinic
distance to the lowest polymorph of the same formula = 11.2 meV per atom

---

Entry from the Alexandria database: an optimized crystal structure of RbNaHg (PBE).

Lattice parameters (Å, degrees): 8.9699 10.4169 10.4169 60.75 64.50 64.50
Fractional coordinates of all 18 atoms:
Rb 0.2569 0.9568 0.4568
Rb 0.6704 0.0432 0.5432
Rb 0.6710 0.5428 0.0428
Rb 0.2566 0.4572 0.9572
Rb 0.8428 0.2502 0.7502
Rb 0.8433 0.7498 0.2498
Na 0.4917 0.5000 0.5000
Na 0.4917 0.0000 0.0000
Na 0.2567 0.8835 0.8822
Na 0.0224 0.1165 0.1178
Na 0.0224 0.6178 0.6165
Na 0.2567 0.3822 0.3835
Hg 0.2577 0.7496 0.2496
Hg 0.2569 0.2504 0.7504
Hg 0.5902 0.6668 0.6663
Hg 0.9233 0.3332 0.3337
Hg 0.9233 0.8337 0.8332
Hg 0.5902 0.1663 0.1668

Values from the calculation:
SG = Ima2
DFT total energy = -1.032 eV per atom
calculated density = 4.18 g cm⁻³
crystal system = orthorhombic
distance to the lowest polymorph of the same formula = 0.0 meV per atom

---

Per-record magnetization, μB/atom: 0.0000; 0.0000; 0.0000; 0.0000; 0.0000; 0.0001; 0.0000; 0.0000; 0.0000; 0.0000; 0.0000